# K12S5I3

K12S5I3 after structural relaxation (PBE-GGA, the Alexandria database).

Crystal system: cubic
Theoretical density (Mg/m³): 1.81
ΔE_f (raw) (eV/atom): -1.030

abc: 16.8734 16.8734 16.8734
angles: 109.47 109.47 109.47
Closest atoms and distances in Å follow each position.
Element x y z (fractional)
K (0.0249, 0.2009, 0.1147)  2 S 2.95-3.09
K (0.0249, 0.3240, 0.9103)  2 S 2.95-3.09
K (0.0863, 0.7009, 0.6760)  2 S 2.95-3.09
K (0.0863, 0.8853, 0.4103)  2 S 2.95-3.09
K (0.0897, 0.6147, 0.4137)  2 S 2.95-3.09
K (0.0897, 0.9751, 0.6760)  2 S 2.95-3.09
K (0.1147, 0.0249, 0.2009)  2 S 2.95-3.09
K (0.1147, 0.5897, 0.9137)  2 S 2.95-3.09
K (0.1760, 0.2009, 0.5863)  2 S 2.95-3.09
K (0.1760, 0.4751, 0.5897)  2 S 2.95-3.09
K (0.2009, 0.1147, 0.0249)  2 S 2.95-3.09
K (0.2009, 0.5863, 0.1760)  2 S 2.95-3.09
K (0.2991, 0.3240, 0.9137)  2 S 2.95-3.09
K (0.2991, 0.4751, 0.3853)  2 S 2.95-3.09
K (0.3240, 0.9103, 0.0249)  2 S 2.95-3.09
K (0.3240, 0.9137, 0.2991)  2 S 2.95-3.09
K (0.3853, 0.2991, 0.4751)  2 S 2.95-3.09
K (0.3853, 0.5863, 0.9103)  2 S 2.95-3.09
K (0.4103, 0.0863, 0.8853)  2 S 2.95-3.09
K (0.4103, 0.8240, 0.5249)  2 S 2.95-3.09
K (0.4137, 0.0897, 0.6147)  2 S 2.95-3.09
K (0.4137, 0.8240, 0.7991)  2 S 2.95-3.09
K (0.4751, 0.3853, 0.2991)  2 S 2.95-3.09
K (0.4751, 0.5897, 0.1760)  2 S 2.95-3.09
K (0.5249, 0.4103, 0.8240)  2 S 2.95-3.09
K (0.5249, 0.6147, 0.7009)  2 S 2.95-3.09
K (0.5863, 0.1760, 0.2009)  2 S 2.95-3.09
K (0.5863, 0.9103, 0.3853)  2 S 2.95-3.09
K (0.5897, 0.1760, 0.4751)  2 S 2.95-3.09
K (0.5897, 0.9137, 0.1147)  2 S 2.95-3.09
K (0.6147, 0.4137, 0.0897)  2 S 2.95-3.09
K (0.6147, 0.7009, 0.5249)  2 S 2.95-3.09
K (0.6760, 0.0863, 0.7009)  2 S 2.95-3.09
K (0.6760, 0.0897, 0.9751)  2 S 2.95-3.09
K (0.7009, 0.5249, 0.6147)  2 S 2.95-3.09
K (0.7009, 0.6760, 0.0863)  2 S 2.95-3.09
K (0.7991, 0.4137, 0.8240)  2 S 2.95-3.09
K (0.7991, 0.8853, 0.9751)  2 S 2.95-3.09
K (0.8240, 0.5249, 0.4103)  2 S 2.95-3.09
K (0.8240, 0.7991, 0.4137)  2 S 2.95-3.09
K (0.8853, 0.4103, 0.0863)  2 S 2.95-3.09
K (0.8853, 0.9751, 0.7991)  2 S 2.95-3.09
K (0.9103, 0.0249, 0.3240)  2 S 2.95-3.09
K (0.9103, 0.3853, 0.5863)  2 S 2.95-3.09
K (0.9137, 0.1147, 0.5897)  2 S 2.95-3.09
K (0.9137, 0.2991, 0.3240)  2 S 2.95-3.09
K (0.9751, 0.6760, 0.0897)  2 S 2.95-3.09
K (0.9751, 0.7991, 0.8853)  2 S 2.95-3.09
S (0.0000, 0.0000, 0.0000)  6 K 3.09
S (0.0000, 0.0000, 0.5000)  6 K 3.09
S (0.0000, 0.5000, 0.0000)  6 K 3.09
S (0.0000, 0.5000, 0.5000)  6 K 3.09
S (0.1250, 0.7500, 0.8750)  4 K 2.95
S (0.1250, 0.8750, 0.2500)  4 K 2.95
S (0.2500, 0.1250, 0.8750)  4 K 2.95
S (0.2500, 0.6250, 0.3750)  4 K 2.95
S (0.3750, 0.2500, 0.6250)  4 K 2.95
S (0.3750, 0.6250, 0.7500)  4 K 2.95
S (0.5000, 0.0000, 0.0000)  6 K 3.09
S (0.5000, 0.0000, 0.5000)  6 K 3.09
S (0.5000, 0.5000, 0.0000)  6 K 3.09
S (0.5000, 0.5000, 0.5000)  6 K 3.09
S (0.6250, 0.3750, 0.2500)  4 K 2.95
S (0.6250, 0.7500, 0.3750)  4 K 2.95
S (0.7500, 0.3750, 0.6250)  4 K 2.95
S (0.7500, 0.8750, 0.1250)  4 K 2.95
S (0.8750, 0.1250, 0.7500)  4 K 2.95
S (0.8750, 0.2500, 0.1250)  4 K 2.95
I (0.1250, 0.2500, 0.3750)  8 K 3.81-3.85
I (0.1250, 0.3750, 0.7500)  8 K 3.81-3.85
I (0.2500, 0.3750, 0.1250)  8 K 3.81-3.85
I (0.2500, 0.8750, 0.6250)  8 K 3.81-3.85
I (0.3750, 0.1250, 0.2500)  8 K 3.81-3.85
I (0.3750, 0.7500, 0.1250)  8 K 3.81-3.85
I (0.6250, 0.2500, 0.8750)  8 K 3.81-3.85
I (0.6250, 0.8750, 0.7500)  8 K 3.81-3.85
I (0.7500, 0.1250, 0.3750)  8 K 3.81-3.85
I (0.7500, 0.6250, 0.8750)  8 K 3.81-3.85
I (0.8750, 0.6250, 0.2500)  8 K 3.81-3.85
I (0.8750, 0.7500, 0.6250)  8 K 3.81-3.85

# CdH3Pt3

CdH3Pt3 after structural relaxation (PBE-GGA, the Alexandria database).

Crystal system: hexagonal
Theoretical density (Mg/m³): 9.62

abc: 7.6275 7.6275 4.7990
angles: 90.00 90.00 120.00
Closest atoms and distances in Å follow each position.
Element x y z (fractional)
Cd (0.3333, 0.6667, 0.2500)  3 H 2.69, 9 Pt 2.81-2.88
Cd (0.6667, 0.3333, 0.7500)  3 H 2.69, 9 Pt 2.81-2.88
H (0.0006, 0.2990, 0.7500)  1 Pt 1.56
H (0.2983, 0.9994, 0.7500)  1 Pt 1.56
H (0.2990, 0.2983, 0.2500)  1 Pt 1.56
H (0.7010, 0.7017, 0.7500)  1 Pt 1.56
H (0.7017, 0.0006, 0.2500)  1 Pt 1.56
H (0.9994, 0.7010, 0.2500)  1 Pt 1.56
Pt (0.0924, 0.5340, 0.7500)  1 H 1.56
Pt (0.4416, 0.9076, 0.7500)  1 H 1.56
Pt (0.4660, 0.5584, 0.7500)  1 H 1.56
Pt (0.5340, 0.4416, 0.2500)  1 H 1.56
Pt (0.5584, 0.0924, 0.2500)  1 H 1.56
Pt (0.9076, 0.4660, 0.2500)  1 H 1.56

# ZrAsI

ZrAsI after structural relaxation (PBE-GGA, the Alexandria database).

Crystal system: monoclinic
Theoretical density (Mg/m³): 5.24
ΔE_f (raw) (eV/atom): -0.786
Offset from the most stable computed form (meV/atom): 92

abc: 3.8301 6.6418 7.5506
angles: 90.00 104.60 90.00
Closest atoms and distances in Å follow each position.
Element x y z (fractional)
Zr (0.0000, 0.0000, 0.0000)  4 As 2.73, 2 I 2.95
Zr (0.0000, 0.5000, 0.0000)  4 As 2.73, 2 I 2.95
As (0.4316, 0.2500, 0.8625)  4 Zr 2.73
As (0.5684, 0.7500, 0.1375)  4 Zr 2.73
I (0.1663, 0.2500, 0.3345)  2 Zr 2.95
I (0.8337, 0.7500, 0.6655)  2 Zr 2.95

# Y3MgSc3S8

Y3MgSc3S8 after structural relaxation (PBE-GGA, the Alexandria database).

Crystal system: trigonal
Theoretical density (Mg/m³): 3.68
ΔE_f (raw) (eV/atom): -1.912

abc: 7.6117 7.6117 7.6117
angles: 59.47 59.47 59.47
Closest atoms and distances in Å follow each position.
Element x y z (fractional)
Y (0.0000, 0.5000, 0.5000)  6 S 2.74
Y (0.5000, 0.0000, 0.5000)  6 S 2.74
Y (0.5000, 0.5000, 0.0000)  6 S 2.74
Mg (0.5000, 0.5000, 0.5000)  6 S 2.62
Sc (0.0000, 0.0000, 0.5000)  6 S 2.62
Sc (0.0000, 0.5000, 0.0000)  6 S 2.62
Sc (0.5000, 0.0000, 0.0000)  6 S 2.62
S (0.2446, 0.2446, 0.2446)  3 Sc 2.62, 3 Y 2.74
S (0.2449, 0.7444, 0.7444)  1 Mg 2.62, 2 Sc 2.62, 2 Y 2.74
S (0.2556, 0.2556, 0.7551)  1 Mg 2.62, 2 Sc 2.62, 2 Y 2.74
S (0.2556, 0.7551, 0.2556)  1 Mg 2.62, 2 Sc 2.62, 2 Y 2.74
S (0.7444, 0.2449, 0.7444)  1 Mg 2.62, 2 Sc 2.62, 2 Y 2.74
S (0.7444, 0.7444, 0.2449)  1 Mg 2.62, 2 Sc 2.62, 2 Y 2.74
S (0.7551, 0.2556, 0.2556)  1 Mg 2.62, 2 Sc 2.62, 2 Y 2.74
S (0.7554, 0.7554, 0.7554)  3 Sc 2.62, 3 Y 2.74

# AcAgHgPd

AcAgHgPd after structural relaxation (PBE-GGA, the Alexandria database).

DFT formation energy (meV/atom): -367.4
Crystal system: cubic
Theoretical density (Mg/m³): 10.73
Offset from the most stable computed form (meV/atom): 78

abc: 5.1981 5.1981 5.1981
angles: 60.00 60.00 60.00
Closest atoms and distances in Å follow each position.
Element x y z (fractional)
Ac (0.0000, 0.0000, 0.0000)  4 Pd 3.18, 4 Hg 3.18
Ag (0.5000, 0.5000, 0.5000)  4 Hg 3.18, 4 Pd 3.18
Hg (0.2500, 0.2500, 0.2500)  4 Ac 3.18, 4 Ag 3.18
Pd (0.7500, 0.7500, 0.7500)  4 Ac 3.18, 4 Ag 3.18

# Sc3Si2Ni3

Sc3Si2Ni3 after structural relaxation (PBE-GGA, the Alexandria database).

Crystal system: orthorhombic
Theoretical density (Mg/m³): 4.87
ΔE_f (raw) (eV/atom): -0.736
Offset from the most stable computed form (meV/atom): 14

abc: 5.1587 5.1587 13.2691
angles: 90.00 90.00 134.90
Closest atoms and distances in Å follow each position.
Element x y z (fractional)
Sc (0.0820, 0.9180, 0.6053)  7 Ni 2.78-2.95, 4 Si 2.78-2.99
Sc (0.0820, 0.9180, 0.8947)  7 Ni 2.78-2.95, 4 Si 2.78-2.99
Sc (0.3743, 0.6257, 0.7500)  5 Ni 2.77-2.81, 4 Si 2.92
Sc (0.6257, 0.3743, 0.2500)  5 Ni 2.77-2.81, 4 Si 2.92
Sc (0.9180, 0.0820, 0.1053)  7 Ni 2.78-2.95, 4 Si 2.78-2.99
Sc (0.9180, 0.0820, 0.3947)  7 Ni 2.78-2.95, 4 Si 2.78-2.99
Si (0.2100, 0.7900, 0.1004)  4 Ni 2.29-2.44
Si (0.2100, 0.7900, 0.3996)  4 Ni 2.29-2.44
Si (0.7900, 0.2100, 0.6004)  4 Ni 2.29-2.44
Si (0.7900, 0.2100, 0.8996)  4 Ni 2.29-2.44
Ni (0.3350, 0.6650, 0.2500)  2 Si 2.32
Ni (0.3771, 0.6229, 0.5389)  3 Si 2.29-2.44, 1 Ni 2.56
Ni (0.3771, 0.6229, 0.9611)  3 Si 2.29-2.44, 1 Ni 2.56
Ni (0.6229, 0.3771, 0.0389)  3 Si 2.29-2.44, 1 Ni 2.56
Ni (0.6229, 0.3771, 0.4611)  3 Si 2.29-2.44, 1 Ni 2.56
Ni (0.6650, 0.3350, 0.7500)  2 Si 2.32

# TcHgC3

TcHgC3 after structural relaxation (PBE-GGA, the Alexandria database).

DFT formation energy (meV/atom): 3774.2
Crystal system: cubic
Theoretical density (Mg/m³): 7.87
Offset from the most stable computed form (meV/atom): 1825

abc: 4.1331 4.1331 4.1331
angles: 90.00 90.00 90.00
Closest atoms and distances in Å follow each position.
Element x y z (fractional)
Tc (0.0000, 0.0000, 0.0000)  12 C 2.92
Hg (0.5000, 0.5000, 0.5000)  6 C 2.07
C (0.0000, 0.5000, 0.5000)  2 Hg 2.07
C (0.5000, 0.0000, 0.5000)  2 Hg 2.07
C (0.5000, 0.5000, 0.0000)  2 Hg 2.07

# Nd2EuBi

Nd2EuBi after structural relaxation (PBE-GGA, the Alexandria database).

DFT formation energy (meV/atom): -368.5
Crystal system: tetragonal
Theoretical density (Mg/m³): 8.04
Offset from the most stable computed form (meV/atom): 43

abc: 4.3072 4.3072 7.2334
angles: 90.00 90.00 90.00
Closest atoms and distances in Å follow each position.
Element x y z (fractional)
Nd (0.0000, 0.0000, 0.2284)  1 Nd 3.30, 4 Bi 3.46, 4 Eu 3.62
Nd (0.0000, 0.0000, 0.7716)  1 Nd 3.30, 4 Bi 3.46, 4 Eu 3.62
Eu (0.5000, 0.5000, 0.5000)  2 Bi 3.62, 8 Nd 3.62
Bi (0.5000, 0.5000, 0.0000)  8 Nd 3.46, 2 Eu 3.62

# Na5In2Ga

Na5In2Ga after structural relaxation (PBE-GGA, the Alexandria database).

DFT formation energy (meV/atom): -37.8
Crystal system: orthorhombic
Theoretical density (Mg/m³): 3.15

abc: 6.6013 12.8790 5.1332
angles: 90.00 90.00 90.00
Closest atoms and distances in Å follow each position.
Element x y z (fractional)
Na (0.0000, 0.0000, 0.0000)  2 Ga 3.30, 6 Na 3.31-3.39, 4 In 3.62
Na (0.0935, 0.2591, 0.0000)  1 Ga 3.16, 7 Na 3.28-3.49
Na (0.1738, 0.8636, 0.5000)  4 In 3.24-3.38, 6 Na 3.28-3.49
Na (0.3262, 0.3636, 0.5000)  4 In 3.24-3.38, 6 Na 3.28-3.49
Na (0.4065, 0.7591, 0.0000)  1 Ga 3.16, 7 Na 3.28-3.49
Na (0.5000, 0.5000, 0.0000)  2 Ga 3.30, 6 Na 3.31-3.39, 4 In 3.62
Na (0.5935, 0.2409, 0.0000)  1 Ga 3.16, 7 Na 3.28-3.49
Na (0.6738, 0.6364, 0.5000)  4 In 3.24-3.38, 6 Na 3.28-3.49
Na (0.8262, 0.1364, 0.5000)  4 In 3.24-3.38, 6 Na 3.28-3.49
Na (0.9065, 0.7409, 0.0000)  1 Ga 3.16, 7 Na 3.28-3.49
In (0.1668, 0.6014, 0.5000)  2 Ga 3.08, 4 Na 3.24-3.38, 1 In 3.42
In (0.3332, 0.1014, 0.5000)  2 Ga 3.08, 4 Na 3.24-3.38, 1 In 3.42
In (0.6668, 0.8986, 0.5000)  2 Ga 3.08, 4 Na 3.24-3.38, 1 In 3.42
In (0.8332, 0.3986, 0.5000)  2 Ga 3.08, 4 Na 3.24-3.38, 1 In 3.42
Ga (0.0000, 0.5000, 0.0000)  4 In 3.08, 4 Na 3.16-3.30
Ga (0.5000, 0.0000, 0.0000)  4 In 3.08, 4 Na 3.16-3.30

# SrMgSn2Au4

SrMgSn2Au4 after structural relaxation (PBE-GGA, the Alexandria database).

DFT formation energy (meV/atom): -487.6
Crystal system: trigonal
Theoretical density (Mg/m³): 10.25

abc: 9.8633 9.8633 9.8633
angles: 27.79 27.79 27.79
Closest atoms and distances in Å follow each position.
Element x y z (fractional)
Sr (0.0000, 0.0000, 0.0000)  6 Au 3.30
Mg (0.5000, 0.5000, 0.5000)  8 Au 2.83-2.89
Sn (0.2445, 0.2445, 0.2445)  7 Au 2.82-3.11
Sn (0.7555, 0.7555, 0.7555)  7 Au 2.82-3.11
Au (0.1413, 0.1413, 0.1413)  3 Mg 2.83, 4 Sn 2.93-3.11, 3 Au 3.09
Au (0.3982, 0.3982, 0.3982)  3 Sn 2.82, 1 Mg 2.89
Au (0.6018, 0.6018, 0.6018)  3 Sn 2.82, 1 Mg 2.89
Au (0.8587, 0.8587, 0.8587)  3 Mg 2.83, 4 Sn 2.93-3.11, 3 Au 3.09

Number 1: total energy -2.953 eV/atom, N(E_F) 1.3317 states/eV per atom, M_tot 5.42 μB per cell. Number 2: total energy -4.020 eV/atom, N(E_F) 0.5643 states/eV per atom, M_tot 0.00 μB per cell. Number 3: total energy -5.702 eV/atom, N(E_F) 0.2853 states/eV per atom, M_tot 0.00 μB per cell. Number 4: total energy -6.779 eV/atom, N(E_F) 0.2386 states/eV per atom, M_tot 0.00 μB per cell. Number 5: total energy -3.481 eV/atom, N(E_F) 0.4868 states/eV per atom, M_tot 0.00 μB per cell. Number 6: total energy -6.634 eV/atom, N(E_F) 0.6914 states/eV per atom, M_tot 0.00 μB per cell. Number 7: total energy -3.894 eV/atom, N(E_F) 0.7524 states/eV per atom, M_tot 0.00 μB per cell. Number 8: total energy -6.291 eV/atom, N(E_F) 1.1315 states/eV per atom, M_tot 7.80 μB per cell. Number 9: total energy -1.925 eV/atom, N(E_F) 0.4375 states/eV per atom, M_tot 0.00 μB per cell. Number 10: total energy -3.537 eV/atom, N(E_F) 0.2757 states/eV per atom, M_tot 0.00 μB per cell.